Entry 1:
First-principles (GGA-PBE) data for CaZn2Te after structural relaxation, as listed in Alexandria via LeMat-Bulk.

Results
ΔE_f (raw) (eV per atom): -0.4743
M_tot (μB per cell): 0.00
DOS(E_F) (states/eV/f.u.): 1.29
Volume (Å³ per cell): 206

Cell lengths 8.264, 4.255, 6.066 Å; angles 90.00, 105.15, 90.00 degrees
Space group Cm (No. 8)
Inequivalent atoms, fractional coordinates:
Ca: 0.000 0.000 0.000 x2
Zn: 0.233 0.500 0.344 x2
Zn: 0.417 0.000 0.327 x2
Te: 0.258 0.000 0.696 x2



Entry 2:
First-principles (GGA-PBE) data for Sm2YErS5 after structural relaxation, as listed in Alexandria via LeMat-Bulk.

Results
ΔE_f (raw) (eV per atom): -1.4263
M_tot (μB per cell): 0.00
DOS(E_F) (states/eV/f.u.): 5.77
Volume (Å³ per cell): 240

Cell lengths 4.848, 4.848, 10.213 Å; angles 90.00, 90.00, 90.00 degrees
Space group P4/mmm (No. 123)
Inequivalent atoms, fractional coordinates:
Sm: 0.000 0.000 0.190 x2
Y: 0.500 0.500 0.500 x1
Er: 0.500 0.500 0.000 x1
S: 0.000 0.000 0.500 x1
S: 0.000 0.500 0.000 x2
S: 0.500 0.500 0.254 x2



Entry 3:
First-principles (GGA-PBE) data for K5As2Se5 after structural relaxation, as listed in Alexandria via LeMat-Bulk.

Results
ΔE_f (raw) (eV per atom): -0.7536
M_tot (μB per cell): 0.00
DOS(E_F) (states/eV/f.u.): 1.14
Volume (Å³ per cell): 784

Cell lengths 13.872, 4.786, 12.392 Å; angles 90.00, 107.59, 90.00 degrees
Space group C2/m (No. 12)
Inequivalent atoms, fractional coordinates:
K: 0.000 0.000 0.000 x2
K: 0.159 0.000 0.559 x4
K: 0.240 0.500 0.144 x4
As: 0.043 0.500 0.294 x4
Se: 0.000 0.500 0.500 x2
Se: 0.103 0.500 0.877 x4
Se: 0.135 0.000 0.284 x4



Entry 4:
First-principles (GGA-PBE) data for BeCrSe2 after structural relaxation, as listed in Alexandria via LeMat-Bulk.

Results
ΔE_f (raw) (eV per atom): 0.2493
M_tot (μB per cell): 3.30
DOS(E_F) (states/eV/f.u.): 1.48
Volume (Å³ per cell): 64

Cell lengths 4.458, 4.458, 3.221 Å; angles 90.00, 90.00, 90.00 degrees
Space group P4/mmm (No. 123)
Inequivalent atoms, fractional coordinates:
Be: 0.000 0.000 0.000 x1
Cr: 0.500 0.500 0.000 x1
Se: 0.000 0.500 0.500 x2



Entry 5:
First-principles (GGA-PBE) data for La3Nd2Sn after structural relaxation, as listed in Alexandria via LeMat-Bulk.

Results
M_tot (μB per cell): 0.00
DOS(E_F) (states/eV/f.u.): 8.06
Volume (Å³ per cell): 397
Formation energy (eV/atom): -0.274

Cell lengths 5.063, 15.876, 4.938 Å; angles 90.00, 90.00, 90.00 degrees
Space group Cmmm (No. 65)
Inequivalent atoms, fractional coordinates:
La: 0.000 0.000 0.000 x2
La: 0.000 0.162 0.500 x4
Nd: 0.000 0.342 0.000 x4
Sn: 0.000 0.500 0.500 x2



Entry 6:
First-principles (GGA-PBE) data for Ho12Cu6Pt after structural relaxation, as listed in Alexandria via LeMat-Bulk.

Results
M_tot (μB per cell): 0.00
DOS(E_F) (states/eV/f.u.): 24.18
Volume (Å³ per cell): 1544
Formation energy (eV/atom): -0.089

Cell lengths 12.3577, 12.3577, 11.6728 Å; angles 90.00, 90.00, 120.00 degrees
Space group R-3 (No. 148, hexagonal axes)
Inequivalent atoms, fractional coordinates:
Ho: 0.0257 0.8224 0.3895 x18
Ho: 0.0361 0.8328 0.8777 x18
Cu: 0.0422 0.7756 0.6434 x18
Pt: 0.0000 0.0000 0.0000 x3



Entry 7:
First-principles (GGA-PBE) data for DyScAu after structural relaxation, as listed in Alexandria via LeMat-Bulk.

Results
M_tot (μB per cell): 0.00
DOS(E_F) (states/eV/f.u.): 3.74
Volume (Å³ per cell): 478
Formation energy (eV/atom): -0.423

Cell lengths 4.8307, 4.8307, 23.6357 Å; angles 90.00, 90.00, 120.00 degrees
Space group R-3m (No. 166, hexagonal axes)
Inequivalent atoms, fractional coordinates:
Dy: 0.0000 0.0000 0.1217 x6
Sc: 0.0000 0.0000 0.3718 x6
Au: 0.0000 0.0000 0.2535 x6



Entry 8:
First-principles (GGA-PBE) data for K2TlW after structural relaxation, as listed in Alexandria via LeMat-Bulk.

Results
M_tot (μB per cell): 0.00
DOS(E_F) (states/eV/f.u.): 2.09
Volume (Å³ per cell): 231
Formation energy (eV/atom): 1.033

Cell lengths 4.342, 4.355, 12.230 Å; angles 90.00, 90.00, 90.00 degrees
Space group Cmm2 (No. 35)
Inequivalent atoms, fractional coordinates:
K: 0.000 0.000 0.000 x2
K: 0.000 0.500 0.353 x2
Tl: 0.000 0.500 0.770 x2
W: 0.000 0.000 0.586 x2



Entry 9:
First-principles (GGA-PBE) data for Ac8HgAu2 after structural relaxation, as listed in Alexandria via LeMat-Bulk.

Results
M_tot (μB per cell): 0.00
DOS(E_F) (states/eV/f.u.): 14.54
Volume (Å³ per cell): 861
Formation energy (eV/atom): -0.253

Cell lengths 9.475, 14.855, 6.402 Å; angles 90.00, 107.10, 90.00 degrees
Space group Cm (No. 8)
Inequivalent atoms, fractional coordinates:
Ac: 0.000 0.000 0.000 x2
Ac: 0.088 0.374 0.780 x4
Ac: 0.160 0.126 0.579 x4
Ac: 0.259 0.500 0.379 x2
Ac: 0.370 0.228 0.185 x4
Hg: 0.378 0.000 0.313 x2
Au: 0.377 0.302 0.690 x4



Entry 10:
First-principles (GGA-PBE) data for ZrAs2Rh after structural relaxation, as listed in Alexandria via LeMat-Bulk.

Results
M_tot (μB per cell): 0.00
DOS(E_F) (states/eV/f.u.): 2.04
Volume (Å³ per cell): 223
Formation energy (eV/atom): -0.260

Cell lengths 3.2533, 3.2533, 24.3234 Å; angles 90.00, 90.00, 120.00 degrees
Space group R3m (No. 160, hexagonal axes)
Inequivalent atoms, fractional coordinates:
Zr: 0.0000 0.0000 0.0000 x3
As: 0.0000 0.0000 0.2485 x3
As: 0.0000 0.0000 0.4916 x3
Rh: 0.0000 0.0000 0.7590 x3



Entry 11:
First-principles (GGA-PBE) data for Ho3Tm2Hg7 after structural relaxation, as listed in Alexandria via LeMat-Bulk.

Results
M_tot (μB per cell): 0.00
DOS(E_F) (states/eV/f.u.): 7.13
Volume (Å³ per cell): 632
Formation energy (eV/atom): -0.294

Cell lengths 5.143, 22.762, 5.400 Å; angles 90.00, 90.00, 90.00 degrees
Space group Cmmm (No. 65)
Inequivalent atoms, fractional coordinates:
Ho: 0.000 0.000 0.000 x2
Ho: 0.000 0.165 0.000 x4
Tm: 0.000 0.356 0.500 x4
Hg: 0.000 0.076 0.500 x4
Hg: 0.000 0.222 0.500 x4
Hg: 0.000 0.415 0.000 x4
Hg: 0.000 0.500 0.500 x2



Entry 12:
First-principles (GGA-PBE) data for LuPuZnRh after structural relaxation, as listed in Alexandria via LeMat-Bulk.

Results
M_tot (μB per cell): 21.15
DOS(E_F) (states/eV/f.u.): 7.63
Volume (Å³ per cell): 331
Formation energy (eV/atom): -0.408

Cell lengths 6.916, 6.916, 6.916 Å; angles 90.00, 90.00, 90.00 degrees
Space group F-43m (No. 216)
Inequivalent atoms, fractional coordinates:
Lu: 0.000 0.000 0.000 x4
Pu: 0.000 0.000 0.500 x4
Zn: 0.250 0.250 0.250 x4
Rh: 0.250 0.250 0.750 x4